Density functional theory data (GGA-PBEsol) for a relaxed structure of SrPt2Se.

abc: 4.1623 4.0365 4.5641
angles: 90.00 90.00 90.00
Positions (direct):
Pt 0.0000 0.0000 0.0000
Pt 0.5000 0.5000 0.0000
Se 0.5000 0.0000 0.5000
Sr 0.0000 0.5000 0.5000

Formation energy (no corrections) ... -342 meV/atom
Symmetry ... Pmmm (47)
Calculated volume ... 19.2 Å³/atom



Density functional theory data (GGA-PBEsol) for a relaxed structure of SrPt2Se.

abc: 4.0613 4.0613 5.7158
angles: 110.65 110.65 90.42
Positions (direct):
Pt 0.5000 0.0000 0.5000
Pt 0.0000 0.5000 0.5000
Se 0.0000 0.0000 0.0000
Sr 0.5000 0.5000 0.0000

Formation energy (no corrections) ... -328 meV/atom
Symmetry ... Fmmm (69)
Calculated volume ... 20.4 Å³/atom